# 1
Density functional theory data (PBE) for an optimized crystal structure of HfCu3Pd.

Cell lengths 4.5617, 4.5617, 18.0982 Å; angles 90.00, 90.00, 90.00 degrees
Closest atoms and distances in Å follow each position.
Space group I-4m2 (No. 119)
Unique sites:
Hf 0.0000 0.0000 0.1740 x4  2 Pd 2.66, 6 Cu 2.72-2.84
Cu 0.0000 0.2470 0.6227 x8  2 Cu 2.25-2.31, 1 Pd 2.49
Cu 0.0000 0.5000 0.0801 x4  4 Cu 2.66, 2 Pd 2.70, 2 Hf 2.84
Pd 0.0000 0.0000 0.5000 x2  8 Cu 2.49-2.70
Pd 0.0000 0.5000 0.7500 x2  4 Cu 2.58, 4 Hf 2.66

Computed properties:
The energy above the most stable polymorph in this dataset comes out at 485 meV per atom. The total magnetic moment comes out at 0.00 μB per cell. Its formation energy is 133 kJ/mol of formula units. As for the total energy: -0.383 Ry per atom.

# 2
Density functional theory data (PBE) for an optimized crystal structure of Hf2Cu2Pd5.

Cell lengths 13.5654, 7.5094, 5.9625 Å; angles 90.00, 90.00, 90.00 degrees
Closest atoms and distances in Å follow each position.
Space group Ima2 (No. 46)
Unique sites:
Hf 0.1254 0.0256 0.0000 x8  6 Pd 2.64-2.94, 2 Cu 2.67
Cu 0.0000 0.0000 0.3435 x4  6 Pd 2.49-2.55, 2 Hf 2.67
Cu 0.2500 0.5216 0.1595 x4  6 Pd 2.56-2.79, 2 Hf 2.67
Pd 0.0252 0.1894 0.6821 x8  2 Cu 2.49-2.55, 2 Hf 2.64-2.76, 1 Pd 2.78
Pd 0.1521 0.6947 0.8652 x8  3 Cu 2.53-2.79, 2 Hf 2.64-2.76, 2 Pd 2.66-2.78
Pd 0.2500 0.1907 0.3111 x4  2 Cu 2.62-2.64, 2 Hf 2.80

Computed properties:
The total magnetic moment comes out at 0.00 μB per cell. Its formation energy is -256 kJ/mol of formula units. As for the total energy: -0.463 Ry per atom.

# 3
Density functional theory data (PBE) for an optimized crystal structure of Hf6CuPd3.

Cell lengths 8.1403, 5.3931, 10.0873 Å; angles 90.00, 120.29, 90.00 degrees
Closest atoms and distances in Å follow each position.
Space group P2_1/c (No. 14)
Unique sites:
Hf 0.0707 0.0282 0.3547 x4  3 Pd 2.88-3.06, 3 Hf 3.11-3.17, 1 Cu 3.13
Hf 0.3010 0.5229 0.4635 x4  1 Cu 2.66, 3 Pd 2.76-2.96, 3 Hf 2.92-2.96
Hf 0.3407 0.2190 0.7175 x4  4 Pd 2.66-2.89, 2 Hf 2.92-2.96, 1 Cu 2.94
Cu 0.0000 0.0000 0.0000 x2  2 Pd 2.55, 2 Hf 2.66
Pd 0.2810 0.7338 0.7151 x4  1 Cu 2.55, 5 Hf 2.66-2.86, 1 Pd 2.80
Pd 0.5000 0.0000 0.5000 x2  2 Pd 2.80, 6 Hf 2.89-3.04

Computed properties:
The total magnetic moment comes out at 0.00 μB per cell. Its formation energy is -291 kJ/mol of formula units. As for the total energy: -0.606 Ry per atom.

# 4
Density functional theory data (PBE) for an optimized crystal structure of HfCu2Pd3.

Cell lengths 5.5589, 13.5605, 4.9186 Å; angles 90.00, 90.00, 90.00 degrees
Closest atoms and distances in Å follow each position.
Space group Cmcm (No. 63)
Unique sites:
Hf 0.0000 0.1592 0.2500 x4  8 Pd 2.71-2.82, 4 Cu 2.86
Cu 0.2442 0.5000 0.0000 x8  3 Cu 2.46-2.71, 4 Pd 2.61-2.72
Pd 0.0000 0.3519 0.7500 x4  4 Cu 2.72, 2 Hf 2.78, 6 Pd 2.82-2.85
Pd 0.2471 0.1701 0.7500 x8  2 Cu 2.61, 3 Hf 2.71-2.82, 5 Pd 2.75-2.85

Computed properties:
The total magnetic moment comes out at 0.00 μB per cell. Its formation energy is -222 kJ/mol of formula units. As for the total energy: -0.441 Ry per atom.

# 5
Density functional theory data (PBE) for an optimized crystal structure of HfCu2Pd6.

Cell lengths 8.6449, 4.0066, 8.2417 Å; angles 90.00, 106.53, 90.00 degrees
Closest atoms and distances in Å follow each position.
Space group C2/m (No. 12)
Unique sites:
Hf 0.0000 0.0000 0.0000 x2  8 Pd 2.67-2.80, 4 Cu 2.89
Cu 0.1780 0.5000 0.2319 x4  10 Pd 2.69-2.82, 2 Hf 2.89
Pd 0.0060 0.0000 0.3252 x4  1 Hf 2.67, 3 Cu 2.72-2.73, 8 Pd 2.73-2.91
Pd 0.1622 0.5000 0.8885 x4  3 Hf 2.75-2.80, 5 Pd 2.77-2.85, 4 Cu 2.77-2.82
Pd 0.1648 0.5000 0.5536 x4  3 Cu 2.69-2.76, 9 Pd 2.73-2.83

Computed properties:
The total magnetic moment comes out at 0.00 μB per cell. Its formation energy is -339 kJ/mol of formula units. As for the total energy: -0.431 Ry per atom.

# 6
Density functional theory data (PBE) for an optimized crystal structure of Hf2CuPd4.

Cell lengths 6.6192, 5.2307, 7.5631 Å; angles 90.00, 114.93, 90.00 degrees
Closest atoms and distances in Å follow each position.
Space group P2_1/m (No. 11)
Unique sites:
Hf 0.1732 0.2500 0.0589 x2  3 Pd 2.58-2.68
Hf 0.3078 0.2500 0.5256 x2  1 Cu 2.68, 8 Pd 2.76-2.85
Cu 0.2462 0.7500 0.2870 x2  4 Pd 2.55-2.64, 1 Hf 2.68
Pd 0.0888 0.5055 0.7280 x4  1 Cu 2.55, 3 Pd 2.56-2.74, 3 Hf 2.68-2.85
Pd 0.4240 0.7500 0.6723 x2  4 Hf 2.58-2.82, 1 Cu 2.64, 2 Pd 2.74
Pd 0.4487 0.7500 0.0644 x2  1 Cu 2.56, 1 Hf 2.83

Computed properties:
The energy above the most stable polymorph in this dataset comes out at 0 meV per atom. The total magnetic moment comes out at 0.00 μB per cell. Its formation energy is -334 kJ/mol of formula units. As for the total energy: -0.506 Ry per atom.

# 7
Density functional theory data (PBE) for an optimized crystal structure of HfCu5Pd6.

Cell lengths 4.5077, 5.8091, 6.7131 Å; angles 90.00, 99.93, 90.00 degrees
Closest atoms and distances in Å follow each position.
Space group P2/m (No. 10)
Unique sites:
Hf 0.0000 0.0000 0.0000 x1  8 Pd 2.69-2.70, 4 Cu 2.90-2.92
Cu 0.0000 0.5000 0.0000 x1  8 Pd 2.66-2.67, 2 Cu 2.89, 2 Hf 2.90
Cu 0.3346 0.5000 0.6699 x2  8 Pd 2.62-2.68, 4 Cu 2.89-2.93
Cu 0.3383 0.0000 0.6664 x2  8 Pd 2.66-2.70, 3 Cu 2.87-2.90, 1 Hf 2.92
Pd 0.1659 0.2525 0.3367 x4  7 Cu 2.66-2.70, 1 Hf 2.69, 4 Pd 2.86-2.93
Pd 0.5000 0.2573 0.0000 x2  6 Cu 2.62-2.69, 2 Hf 2.70, 3 Pd 2.82-2.92

Computed properties:
The energy above the most stable polymorph in this dataset comes out at 7 meV per atom. The total magnetic moment comes out at 0.00 μB per cell. Its formation energy is -390 kJ/mol of formula units. As for the total energy: -0.402 Ry per atom.

# 8
Density functional theory data (PBE) for an optimized crystal structure of HfCu3Pd4.

Cell lengths 8.9225, 5.7876, 4.5811 Å; angles 90.00, 90.00, 90.00 degrees
Closest atoms and distances in Å follow each position.
Space group Pmma (No. 51)
Unique sites:
Hf 0.0000 0.0000 0.0000 x2  8 Pd 2.73, 4 Cu 2.89-2.93
Cu 0.0000 0.5000 0.0000 x2  8 Pd 2.67-2.69, 2 Cu 2.86, 2 Hf 2.89
Cu 0.2500 0.0000 0.4131 x2  8 Pd 2.69-2.79, 2 Cu 2.90, 2 Hf 2.93
Cu 0.2500 0.5000 0.3922 x2  8 Pd 2.65-2.72, 4 Cu 2.86-2.90
Pd 0.0000 0.2575 0.5000 x4  6 Cu 2.68-2.71, 2 Hf 2.73, 4 Pd 2.81-2.98
Pd 0.2500 0.2587 0.9005 x4  6 Cu 2.65-2.79, 2 Hf 2.73, 3 Pd 2.79-2.89

Computed properties:
The total magnetic moment comes out at 0.00 μB per cell. Its formation energy is -308 kJ/mol of formula units. As for the total energy: -0.424 Ry per atom.

# 9
Density functional theory data (PBE) for an optimized crystal structure of PmHfCuPd.

Cell lengths 6.8753, 6.8753, 6.8753 Å; angles 90.00, 90.00, 90.00 degrees
Closest atoms and distances in Å follow each position.
Space group F-43m (No. 216)
Unique sites:
Pm 0.0000 0.0000 0.0000 x4  4 Cu 2.98, 4 Pd 2.98
Hf 0.0000 0.0000 0.5000 x4  4 Pd 2.98, 4 Cu 2.98
Cu 0.2500 0.2500 0.7500 x4  4 Hf 2.98, 4 Pm 2.98
Pd 0.2500 0.2500 0.2500 x4  4 Hf 2.98, 4 Pm 2.98

Computed properties:
The total magnetic moment comes out at 0.00 μB per cell. Its formation energy is -112 kJ/mol of formula units. As for the total energy: -0.462 Ry per atom.

# 10
Density functional theory data (PBE) for an optimized crystal structure of HfCuPd2Pt.

Cell lengths 4.8790, 4.8790, 4.5015 Å; angles 90.00, 90.00, 90.00 degrees
Closest atoms and distances in Å follow each position.
Space group P4/mmm (No. 123)
Unique sites:
Hf 0.0000 0.0000 0.0000 x1  8 Pd 3.32, 4 Cu 3.45
Cu 0.5000 0.5000 0.0000 x1  2 Pt 2.25
Pd 0.0000 0.5000 0.5000 x2  2 Pt 2.44
Pt 0.5000 0.5000 0.5000 x1  2 Cu 2.25, 4 Pd 2.44

Computed properties:
The total magnetic moment comes out at 0.00 μB per cell. Its formation energy is 400 kJ/mol of formula units. As for the total energy: -0.387 Ry per atom.

# 11
Density functional theory data (PBE) for an optimized crystal structure of Hf2Cu7PdPt2.

Cell lengths 4.8815, 4.8817, 15.5886 Å; angles 90.00, 98.99, 90.00 degrees
Closest atoms and distances in Å follow each position.
Space group C2/m (No. 12)
Unique sites:
Hf 0.1443 0.0000 0.2834 x4  4 Pt 2.76, 5 Cu 2.79-2.88
Cu 0.0000 0.0000 0.0000 x2  4 Pd 2.44, 8 Cu 2.68-2.69
Cu 0.1809 0.2499 0.8662 x8  6 Cu 2.44-2.69, 2 Pd 2.68-2.69
Cu 0.2330 0.0000 0.4646 x4  5 Pt 2.60-2.87, 4 Cu 2.67-2.68, 1 Hf 2.79
Pd 0.0000 0.5000 0.0000 x2  12 Cu 2.44-2.69
Pt 0.1855 0.5000 0.3668 x4  5 Cu 2.60-2.87, 4 Hf 2.76

Computed properties:
The total magnetic moment comes out at 0.00 μB per cell. Its formation energy is -219 kJ/mol of formula units. As for the total energy: -0.417 Ry per atom.

# 12
Density functional theory data (PBE) for an optimized crystal structure of HfCuPdPt.

Cell lengths 4.0130, 4.0130, 7.8074 Å; angles 90.00, 90.00, 90.00 degrees
Closest atoms and distances in Å follow each position.
Space group I-4m2 (No. 119)
Unique sites:
Hf 0.0000 0.0000 0.0000 x2  4 Pt 2.80, 4 Pd 2.80, 4 Cu 2.84
Cu 0.0000 0.0000 0.5000 x2  4 Pd 2.80, 4 Pt 2.80, 4 Hf 2.84
Pd 0.0000 0.5000 0.2500 x2  4 Hf 2.80, 4 Cu 2.80, 4 Pt 2.84
Pt 0.0000 0.5000 0.7500 x2  4 Hf 2.80, 4 Cu 2.80, 4 Pd 2.84

Computed properties:
The total magnetic moment comes out at 0.00 μB per cell. Its formation energy is -298 kJ/mol of formula units. As for the total energy: -0.521 Ry per atom.